--- A ---
Density functional theory data (GGA-PBE) for LiPbF3 after structural relaxation.

POSCAR file:
```
LiPbF3
1.0
4.532 0.000 0.000
0.000 5.886 0.000
-0.834 0.000 5.288
Li Pb F
2 2 6
direct
0.074 0.000 0.452 Li
0.926 0.500 0.548 Li
0.313 0.583 0.088 Pb
0.687 0.083 0.912 Pb
0.209 0.240 0.708 F
0.221 0.748 0.689 F
0.258 0.982 0.150 F
0.742 0.482 0.850 F
0.779 0.248 0.311 F
0.791 0.740 0.292 F
```

=====

--- B ---
Density functional theory data (GGA-PBE) for LiPbF3 after structural relaxation.

POSCAR file:
```
LiPbF3
1.0
6.589 0.000 0.000
0.000 5.194 0.000
-2.193 0.000 8.594
Li Pb F
4 4 12
direct
0.093 0.246 0.487 Li
0.093 0.254 0.987 Li
0.907 0.746 0.013 Li
0.907 0.754 0.513 Li
0.305 0.748 0.845 Pb
0.305 0.752 0.345 Pb
0.695 0.248 0.655 Pb
0.695 0.252 0.155 Pb
0.023 0.058 0.658 F
0.023 0.442 0.158 F
0.193 0.592 0.566 F
0.193 0.908 0.066 F
0.360 0.190 0.429 F
0.360 0.310 0.929 F
0.640 0.690 0.071 F
0.640 0.810 0.571 F
0.807 0.092 0.934 F
0.807 0.408 0.434 F
0.977 0.558 0.842 F
0.977 0.942 0.342 F
```

=====

Which of them is most stable, and which least? Most stable: B; least stable: A.

=====

--- A ---
Density functional theory data (GGA-PBE) for LiPbF3 after structural relaxation.

POSCAR file:
```
LiPbF3
1.0
4.799 0.000 0.000
0.000 4.799 0.000
0.000 0.000 4.799
Li Pb F
1 1 3
direct
0.000 0.000 0.000 Li
0.500 0.500 0.500 Pb
0.000 0.500 0.500 F
0.500 0.000 0.500 F
0.500 0.500 0.000 F
```

=====

--- B ---
Density functional theory data (GGA-PBE) for LiPbF3 after structural relaxation.

POSCAR file:
```
LiPbF3
1.0
3.931 0.000 0.000
0.000 3.931 0.000
0.000 0.000 3.931
Li Pb F
1 1 3
direct
0.000 0.000 0.000 Li
0.500 0.500 0.500 Pb
0.000 0.000 0.500 F
0.000 0.500 0.000 F
0.500 0.000 0.000 F
```

=====

Which of them is most stable, and which least? Most stable: B; least stable: A.

=====

--- A ---
Density functional theory data (GGA-PBE) for Li3PdF6 after structural relaxation.

POSCAR file:
```
Li3PdF6
1.0
0.000 3.650 5.281
3.346 0.000 5.281
3.346 3.650 0.000
Li Pd F
3 1 6
direct
0.000 0.000 0.000 Li
0.250 0.250 0.250 Li
0.750 0.750 0.750 Li
0.500 0.500 0.500 Pd
0.131 0.598 0.869 F
0.239 0.761 0.239 F
0.402 0.869 0.598 F
0.598 0.131 0.402 F
0.761 0.239 0.761 F
0.869 0.402 0.131 F
```

=====

--- B ---
Density functional theory data (GGA-PBE) for Li3PdF6 after structural relaxation.

POSCAR file:
```
Li3PdF6
1.0
0.000 3.976 3.976
3.976 0.000 3.976
3.976 3.976 0.000
Li Pd F
3 1 6
direct
0.000 0.000 0.000 Li
0.250 0.250 0.250 Li
0.750 0.750 0.750 Li
0.500 0.500 0.500 Pd
0.245 0.245 0.755 F
0.245 0.755 0.245 F
0.245 0.755 0.755 F
0.755 0.245 0.245 F
0.755 0.245 0.755 F
0.755 0.755 0.245 F
```

=====

Which of them is most stable, and which least? Most stable: A; least stable: B.

=====

--- A ---
Density functional theory data (GGA-PBE) for Li3PdF after structural relaxation.

POSCAR file:
```
Li3PdF
1.0
3.971 0.000 0.000
0.000 3.971 0.000
0.000 0.000 3.971
Li Pd F
3 1 1
direct
0.000 0.000 0.500 Li
0.000 0.500 0.000 Li
0.500 0.000 0.000 Li
0.500 0.500 0.500 Pd
0.000 0.000 0.000 F
```

=====

--- B ---
Density functional theory data (GGA-PBE) for Li3PdF after structural relaxation.

POSCAR file:
```
Li3PdF
1.0
4.728 0.000 0.000
0.000 4.728 0.000
0.000 0.000 4.728
Li Pd F
3 1 1
direct
0.000 0.000 0.500 Li
0.000 0.500 0.000 Li
0.500 0.000 0.000 Li
0.000 0.000 0.000 Pd
0.500 0.500 0.500 F
```

=====

Which of them is most stable, and which least? Most stable: A; least stable: B.